[1]
Here is a geometry-optimized Hg4Au3 structure from Alexandria via LeMat-Bulk. Energies are from PBE.

Crystal system: tetragonal
Calculated formation energy, eV/atom: 0.114
Density of states at the Fermi level, states/eV/cell: 3.032

a = 10.5095 Å, b = 10.5095 Å, c = 10.5095 Å
α = 158.89°, β = 158.89°, γ = 30.03°
Sites, in units of the cell vectors:
Hg 0.0720 0.0720 0.0000
Hg 0.3547 0.3547 0.0000
Hg 0.6453 0.6453 0.0000
Hg 0.9280 0.9280 0.0000
Au 0.2163 0.2163 0.0000
Au 0.5000 0.5000 0.0000
Au 0.7837 0.7837 0.0000

---

[2]
Here is a geometry-optimized Hg2Au structure from Alexandria via LeMat-Bulk. Energies are from PBE.

Crystal system: hexagonal
Calculated formation energy, eV/atom: 0.087
Density of states at the Fermi level, states/eV/cell: 1.603

a = 8.1303 Å, b = 8.1303 Å, c = 3.4938 Å
α = 90.00°, β = 90.00°, γ = 120.00°
Sites, in units of the cell vectors:
Hg 0.0000 0.2866 0.0000
Hg 0.0000 0.6185 0.5000
Hg 0.2866 0.0000 0.0000
Hg 0.3815 0.3815 0.5000
Hg 0.6185 0.0000 0.5000
Hg 0.7134 0.7134 0.0000
Au 0.0000 0.0000 0.5000
Au 0.3333 0.6667 0.0000
Au 0.6667 0.3333 0.0000

---

[3]
Here is a geometry-optimized Hg2Au structure from Alexandria via LeMat-Bulk. Energies are from PBE.

Crystal system: orthorhombic
Calculated formation energy, eV/atom: 0.087
Density of states at the Fermi level, states/eV/cell: 1.848

a = 12.9438 Å, b = 12.9438 Å, c = 12.9438 Å
α = 167.00°, β = 163.37°, γ = 21.17°
Sites, in units of the cell vectors:
Hg 0.2982 0.0482 0.2500
Hg 0.4478 0.1978 0.2500
Hg 0.5522 0.8022 0.7500
Hg 0.7018 0.9518 0.7500
Au 0.1253 0.3753 0.7500
Au 0.8747 0.6247 0.2500

---

[4]
Here is a geometry-optimized Hg2Au17 structure from Alexandria via LeMat-Bulk. Energies are from PBE.

Crystal system: trigonal
Calculated formation energy, eV/atom: 0.093
Density of states at the Fermi level, states/eV/cell: 4.052

a = 7.3110 Å, b = 7.3110 Å, c = 7.3110 Å
α = 83.97°, β = 83.97°, γ = 83.97°
Sites, in units of the cell vectors:
Hg 0.1782 0.1782 0.1782
Hg 0.8218 0.8218 0.8218
Au 0.0000 0.5000 0.5000
Au 0.1609 0.5000 0.8391
Au 0.1609 0.8391 0.5000
Au 0.1686 0.1686 0.6721
Au 0.1686 0.6721 0.1686
Au 0.3279 0.8314 0.8314
Au 0.3998 0.3998 0.3998
Au 0.5000 0.0000 0.5000
Au 0.5000 0.1609 0.8391
Au 0.5000 0.5000 0.0000
Au 0.5000 0.8391 0.1609
Au 0.6002 0.6002 0.6002
Au 0.6721 0.1686 0.1686
Au 0.8314 0.3279 0.8314
Au 0.8314 0.8314 0.3279
Au 0.8391 0.1609 0.5000
Au 0.8391 0.5000 0.1609